CsNiPdF6 | PBE+U | optimized geometry

Symmetry: C2
Magnetic moment (μB/cell): 3.0
Raw total energy (hartree per atom): -0.152

Cell lengths 5.4362, 5.4362, 6.5830 Å; angles 90.26, 90.26, 118.92 degrees
Last column: nearest neighbours and their distance in Å.
Fractional positions:
1 Cs 0.0000 0.0000 0.0000  6 F 2.94-2.99
2 Ni 0.3334 0.6666 0.5000  6 F 1.99-2.08
3 Pd 0.6689 0.3311 0.5000  6 F 2.00-2.22
4 F 0.0285 0.6333 0.3159  1 Ni 1.99, 1 Pd 2.22
5 F 0.3667 0.9715 0.6841  1 Ni 1.99, 1 Pd 2.22
6 F 0.3742 0.3607 0.3355  1 Pd 2.00, 1 Ni 2.08
7 F 0.6383 0.0026 0.3387  1 Pd 2.01, 1 Ni 2.08
8 F 0.6393 0.6258 0.6645  1 Pd 2.00, 1 Ni 2.08
9 F 0.9974 0.3617 0.6613  1 Pd 2.01, 1 Ni 2.08